{"formula": "BeZn2Ru", "functional": "PBE-GGA", "state": "relaxed", "cell": [[2.778, 0.000, 0.000], [0.000, 3.611, 0.000], [-1.373, 0.000, 5.108]], "species": ["Be", "Zn", "Zn", "Ru"], "frac_coords": [[0.000, 0.000, 0.000], [0.220, 0.000, 0.449], [0.846, 0.500, 0.702], [0.574, 0.500, 0.156]], "crystal_system": "monoclinic", "ef_kj_per_mol_atoms": -4}

=====

{"formula": "NdSmFe", "functional": "PBE-GGA", "state": "relaxed", "cell": [[3.544, -6.028, 0.000], [3.544, 6.028, 0.000], [0.000, 0.000, 7.579]], "species": ["Nd", "Nd", "Nd", "Nd", "Sm", "Sm", "Sm", "Sm", "Fe", "Fe", "Fe", "Fe"], "frac_coords": [[0.206, 0.294, 0.250], [0.294, 0.206, 0.750], [0.706, 0.794, 0.250], [0.794, 0.706, 0.750], [0.199, 0.801, 0.388], [0.301, 0.699, 0.888], [0.699, 0.301, 0.112], [0.801, 0.199, 0.612], [0.093, 0.907, 0.046], [0.407, 0.593, 0.546], [0.593, 0.407, 0.454], [0.907, 0.093, 0.954]], "crystal_system": "orthorhombic", "polymorph_energy_ev_per_atom": 0.0066, "ef_kj_per_mol_atoms": 16}